The following is a PBE-GGA calculation of DyAg2I6 after structural relaxation, from Alexandria via LeMat-Bulk.

Unit cell a=7.3790 b=7.3790 c=11.3045 alpha=104.21 beta=104.21 gamma=36.50
Last column: nearest neighbours and their distance in Å.
Positions (direct):
Dy (0.0000, 0.0000, 0.0000)  6 I 2.94-3.12
Ag (0.2158, 0.2158, 0.6379)  5 I 2.90-3.08
Ag (0.7842, 0.7842, 0.3621)  5 I 2.90-3.08
I (0.0549, 0.0549, 0.7660)  1 Dy 2.94, 1 Ag 2.98
I (0.3517, 0.3517, 0.9001)  1 Ag 3.08, 2 Dy 3.12
I (0.3690, 0.3690, 0.5065)  3 Ag 2.90-2.91
I (0.6310, 0.6310, 0.4935)  3 Ag 2.90-2.91
I (0.6483, 0.6483, 0.0999)  1 Ag 3.08, 2 Dy 3.12
I (0.9451, 0.9451, 0.2340)  1 Dy 2.94, 1 Ag 2.98

## Properties
Fermi-level density of states = 6.714 states/eV/cell
formation energy from raw total energies = -0.620 eV per atom
calculated total energy = -25.188 eV per formula unit
space-group type = C2/m

=====

The following is a PBE-GGA calculation of Dy2AgI8 after structural relaxation, from Alexandria via LeMat-Bulk.

Unit cell a=9.1316 b=9.1316 c=10.7875 alpha=104.80 beta=104.80 gamma=48.88
Last column: nearest neighbours and their distance in Å.
Positions (direct):
Dy (0.2236, 0.2236, 0.3149)  4 I 2.82-2.98
Dy (0.7764, 0.7764, 0.6851)  4 I 2.82-2.98
Ag (0.0000, 0.0000, 0.0000)  4 I 2.80
I (0.1487, 0.6335, 0.8580)  1 Ag 2.80, 1 Dy 2.98
I (0.2094, 0.2094, 0.5779)  1 Dy 2.91
I (0.3665, 0.8513, 0.1420)  1 Ag 2.80, 1 Dy 2.98
I (0.3839, 0.3839, 0.2750)  1 Dy 2.82
I (0.6161, 0.6161, 0.7250)  1 Dy 2.82
I (0.6335, 0.1487, 0.8580)  1 Ag 2.80, 1 Dy 2.98
I (0.7906, 0.7906, 0.4221)  1 Dy 2.91
I (0.8513, 0.3665, 0.1420)  1 Ag 2.80, 1 Dy 2.98

## Properties
Fermi-level density of states = 1.917 states/eV/cell
formation energy from raw total energies = -0.895 eV per atom
calculated total energy = -34.305 eV per formula unit
space-group type = C2/m

=====

The following is a PBE-GGA calculation of DyAgI4 after structural relaxation, from Alexandria via LeMat-Bulk.

Unit cell a=7.6058 b=4.3612 c=7.7321 alpha=90.00 beta=95.28 gamma=90.00
Last column: nearest neighbours and their distance in Å.
Positions (direct):
Dy (0.0000, 0.0000, 0.0000)  6 I 3.03-3.07
Ag (0.0000, 0.5000, 0.5000)  6 I 3.01-3.34
I (0.2124, 0.0000, 0.6873)  2 Ag 3.01, 1 Dy 3.03
I (0.2457, 0.5000, 0.1629)  2 Dy 3.07, 1 Ag 3.34
I (0.7543, 0.5000, 0.8371)  2 Dy 3.07, 1 Ag 3.34
I (0.7876, 0.0000, 0.3127)  2 Ag 3.01, 1 Dy 3.03

## Properties
Fermi-level density of states = 0.000 states/eV/cell
formation energy from raw total energies = -0.982 eV per atom
calculated total energy = -19.547 eV per formula unit
relative energy among the computed polymorphs = 0.0 kJ per mole of atoms
space-group type = P2/m

=====

The following is a PBE-GGA calculation of DyAgI2 after structural relaxation, from Alexandria via LeMat-Bulk.

Unit cell a=10.4470 b=10.4470 c=10.4470 alpha=21.78 beta=21.78 gamma=21.78
Last column: nearest neighbours and their distance in Å.
Positions (direct):
Dy (0.0000, 0.0000, 0.0000)  6 I 3.08
Ag (0.5000, 0.5000, 0.5000)  2 I 3.03
I (0.4010, 0.4010, 0.4010)  1 Ag 3.03, 3 Dy 3.08
I (0.5990, 0.5990, 0.5990)  1 Ag 3.03, 3 Dy 3.08

## Properties
Fermi-level density of states = 1.922 states/eV/cell
formation energy from raw total energies = -0.514 eV per atom
calculated total energy = -12.611 eV per formula unit
space-group type = R-3m

=====

The following is a PBE-GGA calculation of DyInAg2I6 after structural relaxation, from Alexandria via LeMat-Bulk.

Unit cell a=9.0707 b=9.0707 c=9.0707 alpha=52.39 beta=52.39 gamma=52.39
Last column: nearest neighbours and their distance in Å.
Positions (direct):
Dy (0.0000, 0.0000, 0.0000)  6 I 3.05
In (0.5000, 0.5000, 0.5000)  6 I 3.49
Ag (0.2678, 0.2678, 0.2678)  3 I 2.78
Ag (0.7322, 0.7322, 0.7322)  3 I 2.78
I (0.0759, 0.3850, 0.7683)  1 Ag 2.78, 1 Dy 3.05
I (0.2317, 0.9241, 0.6150)  1 Ag 2.78, 1 Dy 3.05
I (0.3850, 0.7683, 0.0759)  1 Ag 2.78, 1 Dy 3.05
I (0.6150, 0.2317, 0.9241)  1 Ag 2.78, 1 Dy 3.05
I (0.7683, 0.0759, 0.3850)  1 Ag 2.78, 1 Dy 3.05
I (0.9241, 0.6150, 0.2317)  1 Ag 2.78, 1 Dy 3.05

## Properties
Fermi-level density of states = 0.000 states/eV/cell
formation energy from raw total energies = -0.710 eV per atom
calculated total energy = -29.445 eV per formula unit
space-group type = R-3

=====

The following is a PBE-GGA calculation of KDyAg2I6 after structural relaxation, from Alexandria via LeMat-Bulk.

Unit cell a=9.2651 b=9.2651 c=9.2651 alpha=51.26 beta=51.26 gamma=51.26
Last column: nearest neighbours and their distance in Å.
Positions (direct):
K (0.0000, 0.0000, 0.0000)  6 I 3.57
Dy (0.5000, 0.5000, 0.5000)  6 I 3.05
Ag (0.2301, 0.2301, 0.2301)  3 I 2.78
Ag (0.7699, 0.7699, 0.7699)  3 I 2.78
I (0.1167, 0.4280, 0.7319)  1 Ag 2.78, 1 Dy 3.05
I (0.2681, 0.8833, 0.5720)  1 Ag 2.78, 1 Dy 3.05
I (0.4280, 0.7319, 0.1167)  1 Ag 2.78, 1 Dy 3.05
I (0.5720, 0.2681, 0.8833)  1 Ag 2.78, 1 Dy 3.05
I (0.7319, 0.1167, 0.4280)  1 Ag 2.78, 1 Dy 3.05
I (0.8833, 0.5720, 0.2681)  1 Ag 2.78, 1 Dy 3.05

## Properties
Fermi-level density of states = 0.000 states/eV/cell
formation energy from raw total energies = -0.922 eV per atom
calculated total energy = -29.923 eV per formula unit
space-group type = R-3

=====

The following is a PBE-GGA calculation of KDyAgI6 after structural relaxation, from Alexandria via LeMat-Bulk.

Unit cell a=7.5990 b=7.6000 c=7.8427 alpha=93.24 beta=93.14 gamma=114.13
Last column: nearest neighbours and their distance in Å.
Positions (direct):
K (0.0000, 0.0000, 0.0000)  6 I 3.57-3.70
Dy (0.3338, 0.6670, 0.4988)  6 I 2.95-3.09
Ag (0.6848, 0.3220, 0.4959)  4 I 2.84-2.85
I (0.0189, 0.6188, 0.2374)  1 Dy 2.95
I (0.0272, 0.3556, 0.6878)  1 Ag 2.84, 1 Dy 3.08
I (0.3766, 0.9817, 0.7573)  1 Dy 2.95
I (0.4112, 0.3718, 0.2630)  1 Ag 2.85, 1 Dy 3.09
I (0.6310, 0.5916, 0.7322)  1 Ag 2.85, 1 Dy 3.08
I (0.6431, 0.9737, 0.3076)  1 Ag 2.85, 1 Dy 3.08

## Properties
Fermi-level density of states = 5.848 states/eV/cell
formation energy from raw total energies = -0.945 eV per atom
calculated total energy = -26.359 eV per formula unit
space-group type = P1

=====

The following is a PBE-GGA calculation of LiDyAg2I6 after structural relaxation, from Alexandria via LeMat-Bulk.

Unit cell a=8.3764 b=8.3764 c=8.3764 alpha=54.77 beta=54.77 gamma=54.77
Last column: nearest neighbours and their distance in Å.
Positions (direct):
Li (0.0000, 0.0000, 0.0000)  6 I 3.03-3.04
Dy (0.4998, 0.4998, 0.4998)  6 I 3.05
Ag (0.2456, 0.2456, 0.2456)  3 I 2.79
Ag (0.7550, 0.7550, 0.7550)  3 I 2.79
I (0.1104, 0.7503, 0.3878)  1 Ag 2.79, 1 Li 3.03, 1 Dy 3.05
I (0.2502, 0.6115, 0.8891)  1 Ag 2.79, 1 Li 3.04, 1 Dy 3.05
I (0.3878, 0.1104, 0.7503)  1 Ag 2.79, 1 Li 3.03, 1 Dy 3.05
I (0.6115, 0.8891, 0.2502)  1 Ag 2.79, 1 Li 3.04, 1 Dy 3.05
I (0.7503, 0.3878, 0.1104)  1 Ag 2.79, 1 Li 3.03, 1 Dy 3.05
I (0.8891, 0.2502, 0.6115)  1 Ag 2.79, 1 Li 3.04, 1 Dy 3.05

## Properties
Fermi-level density of states = 0.000 states/eV/cell
formation energy from raw total energies = -0.847 eV per atom
calculated total energy = -29.985 eV per formula unit
space-group type = R3

=====

Please write out number 4 again, unchanged.
The following is a PBE-GGA calculation of DyAgI2 after structural relaxation, from Alexandria via LeMat-Bulk.

Unit cell a=10.4470 b=10.4470 c=10.4470 alpha=21.78 beta=21.78 gamma=21.78
Last column: nearest neighbours and their distance in Å.
Positions (direct):
Dy (0.0000, 0.0000, 0.0000)  6 I 3.08
Ag (0.5000, 0.5000, 0.5000)  2 I 3.03
I (0.4010, 0.4010, 0.4010)  1 Ag 3.03, 3 Dy 3.08
I (0.5990, 0.5990, 0.5990)  1 Ag 3.03, 3 Dy 3.08

## Properties
Fermi-level density of states = 1.922 states/eV/cell
formation energy from raw total energies = -0.514 eV per atom
calculated total energy = -12.611 eV per formula unit
space-group type = R-3m